(1)
DFT (PBE) results for a geometry-optimized TiPt4Rh structure.

```
TiPt4Rh
1.0
-3.8431 -2.5482 -1.3178
0.9959 -4.7107 0.3080
-0.8496 -2.3801 4.1320
Ti Rh Pt
1 1 4
direct
0.5000 0.5000 0.0000
0.0000 0.0000 0.0000
0.5000 0.1641 0.6718
0.0000 0.3357 0.3287
0.5000 0.8359 0.3282
0.0000 0.6643 0.6713
```

Values from the calculation:
Formation enthalpy at 0 K, eV/atom: -0.57

(2)
DFT (PBE) results for a geometry-optimized TiPt6Rh3 structure.

```
TiPt6Rh3
1.0
3.9261 0.0000 0.0000
0.0000 8.7561 -0.1387
0.0000 0.0763 8.8244
Pt Rh Ti
12 6 2
direct
0.7500 0.1403 0.6907
0.2500 0.4498 0.0997
0.2500 0.1532 0.2051
0.2500 0.6486 0.6926
0.7500 0.5502 0.9003
0.7500 0.7603 0.4957
0.7500 0.9495 0.1019
0.2500 0.0505 0.8981
0.2500 0.2397 0.5043
0.7500 0.8468 0.7949
0.2500 0.8597 0.3093
0.7500 0.3514 0.3074
0.7500 0.4502 0.6048
0.7500 0.6501 0.1982
0.2500 0.5498 0.3952
0.2500 0.7463 0.0054
0.7500 0.2537 0.9946
0.2500 0.3499 0.8018
0.2500 0.9408 0.6160
0.7500 0.0592 0.3840
```

Values from the calculation:
Formation enthalpy at 0 K, eV/atom: -0.32

(3)
DFT (PBE) results for a geometry-optimized Ti3Pt3Rh2 structure.

```
Ti3Pt3Rh2
1.0
-3.4001 -1.2791 -3.7632
-3.5516 -4.6143 4.7774
-2.1111 7.2096 -0.5432
Pt Ti Rh
6 6 4
direct
0.7500 0.2598 0.0000
0.2500 0.2598 0.2598
0.7500 0.0000 0.2598
0.2500 0.7402 0.0000
0.7500 0.7402 0.7402
0.2500 0.0000 0.7402
0.2500 0.3956 0.0000
0.2500 0.6044 0.6044
0.7500 0.6044 0.0000
0.7500 0.0000 0.6044
0.2500 0.0000 0.3956
0.7500 0.3956 0.3956
0.0000 0.3333 0.6667
0.5000 0.3333 0.6667
0.0000 0.6667 0.3333
0.5000 0.6667 0.3333
```

Values from the calculation:
Formation enthalpy at 0 K, eV/atom: -0.63

(4)
DFT (PBE) results for a geometry-optimized Ti6PtRh2 structure.

```
Ti6PtRh2
1.0
-3.1159 4.0041 -0.5464
-3.5158 -3.3927 -4.8124
-5.1331 -3.3279 6.0962
Ti Rh Pt
12 4 2
direct
0.8625 0.7494 0.9237
0.3625 0.7506 0.4237
0.3274 0.5800 0.7322
0.1375 0.2506 0.0763
0.6638 0.1388 0.9654
0.8362 0.6388 0.5346
0.6375 0.2494 0.5763
0.8274 0.9200 0.2322
0.3362 0.8612 0.0346
0.6726 0.4200 0.2678
0.1638 0.3612 0.4654
0.1726 0.0800 0.7678
0.1120 0.5857 0.2129
0.6120 0.9143 0.7129
0.8880 0.4143 0.7871
0.3880 0.0857 0.2871
0.5000 0.5000 0.0000
0.0000 0.0000 0.5000
```

Values from the calculation:
Formation enthalpy at 0 K, eV/atom: -0.41

(5)
DFT (PBE) results for a geometry-optimized Ti3PtRh2 structure.

```
Ti3PtRh2
1.0
-0.5297 0.0774 2.8612
1.5950 -2.4082 0.3605
8.8015 6.0488 1.4658
Rh Pt Ti
2 1 3
direct
0.5000 0.5000 0.8425
0.5000 0.5000 0.1575
0.5000 0.5000 0.5000
0.0000 0.0000 0.6763
0.0000 0.0000 0.0000
0.0000 0.0000 0.3237
```

Values from the calculation:
Formation enthalpy at 0 K, eV/atom: -0.78

(6)
DFT (PBE) results for a geometry-optimized TiPt4Rh4 structure.

```
TiPt4Rh4
1.0
-8.6549 2.8494 0.7274
-0.9973 -3.5502 -3.0555
7.1429 -1.9386 3.7245
Pt Rh Ti
4 4 1
direct
0.1671 0.7258 0.8933
0.8311 0.6119 0.1073
0.4994 0.8336 0.6657
0.5030 0.5007 0.3400
0.1680 0.3841 0.5536
0.5031 0.1685 0.0079
0.8327 0.2759 0.7745
0.8278 0.9431 0.4320
0.1679 0.0565 0.2257
```

Values from the calculation:
Formation enthalpy at 0 K, eV/atom: -0.37

(7)
DFT (PBE) results for a geometry-optimized TiPt8Rh2 structure.

```
TiPt8Rh2
1.0
-0.2344 -2.4934 -3.1305
-1.1756 -5.1920 4.2234
-6.0988 2.5499 -1.5742
Pt Rh Ti
8 2 1
direct
0.5000 0.7608 0.2392
0.0000 0.3001 0.0407
0.0000 0.9593 0.6999
0.5000 0.2392 0.7608
0.0000 0.0407 0.3001
0.5000 0.3278 0.3278
0.5000 0.6722 0.6722
0.0000 0.6999 0.9593
0.0000 0.6182 0.3818
0.0000 0.3817 0.6183
0.5000 0.0000 0.0000
```

Values from the calculation:
Formation enthalpy at 0 K, eV/atom: -0.20

(8)
DFT (PBE) results for a geometry-optimized Ti3PtRh2 structure.

```
Ti3PtRh2
1.0
-0.1309 1.9839 3.0259
-2.6788 -2.6444 1.6179
9.2834 -6.5365 4.6872
Rh Ti Pt
4 6 2
direct
0.0003 0.0000 0.3339
0.9997 0.5000 0.1661
0.9997 0.5000 0.8339
0.0003 0.0000 0.6661
0.4995 0.0000 0.1676
0.4997 0.5000 0.0000
0.5003 0.0000 0.5000
0.4995 0.0000 0.8324
0.5005 0.5000 0.3324
0.5005 0.5000 0.6676
0.9996 0.0000 0.0000
0.0004 0.5000 0.5000
```

Values from the calculation:
Formation enthalpy at 0 K, eV/atom: -0.79